## Fe3Ir (PBEsol)

Data for a geometry-optimized Fe3Ir structure.

Computed properties:
Formation enthalpy at 0 K = 0.02 eV/atom
Fermi-level density of states = 3.9 states/eV per cell

CIF file:
```
data_Fe3Ir
_space_group_name_H-M_alt 'P 1'
_space_group_IT_number 1
_space_group_name_Hall 'P 1'
_cell_length_a 2.8515
_cell_length_b 4.1312
_cell_length_c 4.8046
_cell_angle_alpha 115.46
_cell_angle_beta 107.26
_cell_angle_gamma 90.00
loop_
_atom_site_label
_atom_site_type_symbol
_atom_site_fract_x
_atom_site_fract_y
_atom_site_fract_z
_atom_site_occupancy
Ir1 Ir 0.0000 0.5000 0.0000 1
Fe1 Fe 0.7576 0.7576 0.5152 1
Fe2 Fe 0.5000 0.0000 0.0000 1
Fe3 Fe 0.2424 0.2424 0.4848 1
```